VASP calculation (GGA+U) on crystalline AcPb2WO6 at its relaxed geometry.

Cell and atoms, written as extended XYZ:
```
20
Lattice="5.770 0.000 0.040 0.000 6.528 0.000 0.105 0.000 8.810" Properties=species:S:1:pos:R:3 pbc="T T T"
Pb 2.927 2.942 1.952
O 0.612 2.935 6.819
O 1.148 1.033 4.257
O 2.431 6.199 6.415
Pb 2.948 3.586 6.897
W 2.938 0.000 4.425
Ac 2.885 0.000 0.020
O 4.086 2.231 8.681
O 4.903 4.891 8.378
O 3.444 0.329 2.434
O 5.263 3.593 2.030
Pb 5.781 6.206 2.512
Ac 0.053 3.264 4.405
W 0.000 3.264 0.000
Pb 0.095 0.322 6.337
O 4.727 5.495 4.593
O 1.966 4.901 3.953
O 0.972 1.637 0.471
O 1.789 4.297 0.168
O 3.909 1.627 4.896
```

- spin magnetization (Bohr magnetons per cell) = 2.00
- density of states at the Fermi level (states/eV per atom) = 0.00
- DFT total energy (eV/atom) = -6.862
- crystal system = monoclinic